1.
Sm4InFe | PBE | relaxed

a = 9.0651 Å, b = 9.0651 Å, c = 5.9005 Å
α = 108.94°, β = 108.94°, γ = 47.18°
Last column: nearest neighbours and their distance in Å.
Element x y z (fractional)
Sm 0.1236 0.6353 0.3803  2 Fe 2.87-2.88
Sm 0.2201 0.7799 0.0000  2 Fe 2.71
Sm 0.3190 0.3190 0.8208  2 Fe 3.33-3.35, 8 Sm 3.47-3.61, 4 In 3.51-3.63
Sm 0.3647 0.8764 0.6197  2 Fe 2.87-2.88
Sm 0.6353 0.1236 0.3803  2 Fe 2.87-2.88
Sm 0.6810 0.6810 0.1792  2 Fe 3.33-3.35, 8 Sm 3.47-3.61, 4 In 3.51-3.63
Sm 0.7799 0.2201 0.0000  2 Fe 2.71
Sm 0.8764 0.3647 0.6197  2 Fe 2.87-2.88
In 0.1952 0.1952 0.1957  12 Sm 3.41-3.64
In 0.8048 0.8048 0.8043  12 Sm 3.41-3.64
Fe 0.4996 0.4996 0.3049  1 Fe 2.30
Fe 0.5004 0.5004 0.6951  1 Fe 2.30

Summary:
Total magnetic moment, μB/cell: 0.8
Calculated total energy, eV/atom: -5.1691
Calculated formation energy, eV/atom: -0.16



2.
CaScTlPt2 | PBE | relaxed

a = 5.1300 Å, b = 5.1300 Å, c = 5.2352 Å
α = 90.00°, β = 90.00°, γ = 90.00°
Last column: nearest neighbours and their distance in Å.
Element x y z (fractional)
Ca 0.0000 0.0000 0.0000  2 Tl 2.62
Sc 0.5000 0.5000 0.0000  4 Ca 3.63, 8 Pt 3.66
Tl 0.0000 0.0000 0.5000  4 Pt 2.57, 2 Ca 2.62
Pt 0.0000 0.5000 0.5000  2 Tl 2.57
Pt 0.5000 0.0000 0.5000  2 Tl 2.57

Summary:
Total magnetic moment, μB/cell: 0.0
Calculated total energy, eV/atom: -3.9842
Calculated formation energy, eV/atom: 0.57



3.
TcIr2Cl2 | PBE | relaxed

a = 4.9721 Å, b = 4.9721 Å, c = 4.9721 Å
α = 121.64°, β = 121.64°, γ = 87.19°
Last column: nearest neighbours and their distance in Å.
Element x y z (fractional)
Tc 0.0000 0.0000 0.0000  2 Cl 2.24
Ir 0.2500 0.7500 0.5000  4 Cl 2.46
Ir 0.7500 0.2500 0.5000  4 Cl 2.46
Cl 0.3107 0.3107 0.0000  1 Tc 2.24, 4 Ir 2.46
Cl 0.6893 0.6893 0.0000  1 Tc 2.24, 4 Ir 2.46

Summary:
Total magnetic moment, μB/cell: 1.2
Energy relative to the lowest polymorph listed for this composition, meV per atom: 0
E_form (uncorrected), eV/atom: 1.19
Calculated total energy, eV/atom: -5.1704



4.
Zr5TlBi | PBE | relaxed

a = 8.0771 Å, b = 8.0771 Å, c = 8.0771 Å
α = 132.74°, β = 99.76°, γ = 98.74°
Last column: nearest neighbours and their distance in Å.
Element x y z (fractional)
Zr 0.2548 0.0000 0.7548  4 Zr 3.02-3.24, 2 Bi 3.09, 2 Tl 3.11
Zr 0.2548 0.5000 0.2548  4 Zr 3.02-3.24, 2 Bi 3.09, 2 Tl 3.11
Zr 0.2558 0.2689 0.5131  2 Tl 3.00-3.28, 3 Zr 3.03-3.07, 2 Bi 3.11
Zr 0.2558 0.7427 0.9869  2 Tl 3.00-3.28, 3 Zr 3.03-3.07, 2 Bi 3.11
Zr 0.4953 0.2453 0.2500  10 Zr 3.02-3.24
Zr 0.5047 0.7547 0.7500  10 Zr 3.02-3.24
Zr 0.7442 0.2573 0.0131  2 Tl 3.00-3.28, 3 Zr 3.03-3.07, 2 Bi 3.11
Zr 0.7442 0.7311 0.4869  2 Tl 3.00-3.28, 3 Zr 3.03-3.07, 2 Bi 3.11
Zr 0.7452 0.0000 0.2452  4 Zr 3.02-3.24, 2 Bi 3.09, 2 Tl 3.11
Zr 0.7452 0.5000 0.7452  4 Zr 3.02-3.24, 2 Bi 3.09, 2 Tl 3.11
Tl 0.0105 0.2605 0.7500  8 Zr 3.00-3.28, 2 Tl 3.25
Tl 0.9895 0.7395 0.2500  8 Zr 3.00-3.28, 2 Tl 3.25
Bi 0.0000 0.0000 0.0000  8 Zr 3.09-3.11
Bi 0.5000 0.0000 0.5000  8 Zr 3.09-3.11

Summary:
Total magnetic moment, μB/cell: 0.0
Calculated total energy, eV/atom: -6.9153
Calculated formation energy, eV/atom: 0.08



5.
V2NiMo | PBE | relaxed

a = 5.3722 Å, b = 5.3722 Å, c = 5.3722 Å
α = 102.91°, β = 102.91°, γ = 123.58°
Last column: nearest neighbours and their distance in Å.
Element x y z (fractional)
V 0.1094 0.1250 0.4844  2 Ni 2.38, 2 Mo 2.52, 2 V 2.55
V 0.3750 0.8906 0.0156  2 Ni 2.38, 2 Mo 2.52, 2 V 2.55
V 0.6406 0.6250 0.5156  2 Ni 2.38, 2 Mo 2.52, 2 V 2.55
V 0.8750 0.3594 0.9844  2 Ni 2.38, 2 Mo 2.52, 2 V 2.55
Ni 0.0000 0.0000 0.0000  4 V 2.38, 2 Mo 2.54
Ni 0.7500 0.2500 0.5000  4 V 2.38, 2 Mo 2.54
Mo 0.2500 0.7500 0.5000  4 V 2.52, 2 Ni 2.54
Mo 0.5000 0.5000 0.0000  4 V 2.52, 2 Ni 2.54

Summary:
Total magnetic moment, μB/cell: 0.0
Calculated total energy, eV/atom: -8.2709
Calculated formation energy, eV/atom: 0.44



6.
Nd12ErIn4O3 | PBE | relaxed

a = 8.9574 Å, b = 8.9574 Å, c = 8.9574 Å
α = 109.47°, β = 109.47°, γ = 109.47°
Last column: nearest neighbours and their distance in Å.
Element x y z (fractional)
Nd 0.0000 0.2747 0.2747  1 O 2.33
Nd 0.0000 0.7253 0.7253  1 O 2.33
Nd 0.2500 0.5000 0.7500  2 O 2.59
Nd 0.2500 0.7500 0.5000  2 O 2.59
Nd 0.2747 0.0000 0.2747  1 O 2.33
Nd 0.2747 0.2747 0.0000  1 O 2.33
Nd 0.5000 0.2500 0.7500  2 O 2.59
Nd 0.5000 0.7500 0.2500  2 O 2.59
Nd 0.7253 0.0000 0.7253  1 O 2.33
Nd 0.7253 0.7253 0.0000  1 O 2.33
Nd 0.7500 0.2500 0.5000  2 O 2.59
Nd 0.7500 0.5000 0.2500  2 O 2.59
Er 0.0000 0.0000 0.0000  6 Nd 2.84
In 0.0000 0.0000 0.5000  12 Nd 3.66-3.67
In 0.0000 0.5000 0.0000  12 Nd 3.66-3.67
In 0.5000 0.0000 0.0000  12 Nd 3.66-3.67
In 0.5000 0.5000 0.5000  12 Nd 3.66-3.67
O 0.0000 0.5000 0.5000  6 Nd 2.33-2.59
O 0.5000 0.0000 0.5000  6 Nd 2.33-2.59
O 0.5000 0.5000 0.0000  6 Nd 2.33-2.59

Summary:
Total magnetic moment, μB/cell: 0.0
E_form (uncorrected), eV/atom: -0.80
Calculated total energy, eV/atom: -5.1758



7.
SrCeNd2S4 | PBE | relaxed

a = 7.1087 Å, b = 4.0848 Å, c = 7.1283 Å
α = 90.00°, β = 109.23°, γ = 90.00°
Last column: nearest neighbours and their distance in Å.
Element x y z (fractional)
Sr 0.0000 0.0000 0.0000  6 S 2.92-2.93
Ce 0.0000 0.5000 0.5000  6 S 2.89
Nd 0.5000 0.0000 0.5000  6 S 2.87-2.88
Nd 0.5000 0.5000 0.0000  6 S 2.91-2.92
S 0.2498 0.0000 0.7462  3 Nd 2.88-2.91, 2 Ce 2.89, 1 Sr 2.92
S 0.2537 0.5000 0.2560  3 Nd 2.87-2.92, 1 Ce 2.89, 2 Sr 2.93
S 0.7463 0.5000 0.7440  3 Nd 2.87-2.92, 1 Ce 2.89, 2 Sr 2.93
S 0.7502 0.0000 0.2538  3 Nd 2.88-2.91, 2 Ce 2.89, 1 Sr 2.92

Summary:
Total magnetic moment, μB/cell: 0.9
E_form (uncorrected), eV/atom: -2.03
Calculated total energy, eV/atom: -6.2330



8.
Mg5Cd2In2 | PBE | relaxed

a = 8.5221 Å, b = 8.5221 Å, c = 7.6122 Å
α = 90.00°, β = 90.00°, γ = 51.97°
Last column: nearest neighbours and their distance in Å.
Element x y z (fractional)
Mg 0.0000 0.0000 0.0000  4 Cd 2.91-2.95, 2 In 3.26
Mg 0.0350 0.7026 0.6703  3 Cd 2.90-3.09, 3 In 2.99-3.08
Mg 0.2026 0.5350 0.1703  3 Cd 2.90-3.09, 3 In 2.99-3.08
Mg 0.2974 0.9650 0.6703  3 Cd 2.90-3.09, 3 In 2.99-3.08
Mg 0.4650 0.7974 0.1703  3 Cd 2.90-3.09, 3 In 2.99-3.08
Mg 0.5000 0.5000 0.5000  4 Cd 2.91-2.95, 2 In 3.26
Mg 0.5350 0.2026 0.8297  3 Cd 2.90-3.09, 3 In 2.99-3.08
Mg 0.7026 0.0350 0.3297  3 Cd 2.90-3.09, 3 In 2.99-3.08
Mg 0.7974 0.4650 0.8297  3 Cd 2.90-3.09, 3 In 2.99-3.08
Mg 0.9650 0.2974 0.3297  3 Cd 2.90-3.09, 3 In 2.99-3.08
Cd 0.1351 0.8649 0.3640  1 Cd 2.89, 8 Mg 2.90-3.09
Cd 0.3649 0.6351 0.8640  1 Cd 2.89, 8 Mg 2.90-3.09
Cd 0.6351 0.3649 0.1360  1 Cd 2.89, 8 Mg 2.90-3.09
Cd 0.8649 0.1351 0.6360  1 Cd 2.89, 8 Mg 2.90-3.09
In 0.2130 0.2130 0.0000  7 Mg 2.99-3.26
In 0.2870 0.2870 0.5000  7 Mg 2.99-3.26
In 0.7130 0.7130 0.5000  7 Mg 2.99-3.26
In 0.7870 0.7870 0.0000  7 Mg 2.99-3.26

Summary:
Total magnetic moment, μB/cell: 0.0
Energy relative to the lowest polymorph listed for this composition, meV per atom: 59
Calculated total energy, eV/atom: -1.7076
Calculated formation energy, eV/atom: -0.01